Crystalline MgMn2Os at its relaxed geometry, computed with GGA-PBE.

Results
ΔH_f (0 K) ... 273 meV/atom
Fermi-level density of states ... 0.5399 states/eV/atom
Spin magnetization ... 0.990 μB per atom
VASP energy ... -30.1 eV/f.u.

a = 4.2581 Å, b = 4.2581 Å, c = 6.0020 Å
α = 90.00°, β = 90.00°, γ = 90.00°
Space group I-4m2 (No. 119)
Unique sites:
Mg (0.0000, 0.0000, 0.0000)
Mn (0.0000, 0.0000, 0.5000)
Mn (0.0000, 0.5000, 0.7500)
Os (0.0000, 0.5000, 0.2500)